The following is a SCAN calculation of In2SnHg2 at its PBEsol-relaxed geometry, from the Alexandria database.

Computed properties:
symmetry = P4/mbm, No. 127
DFT formation energy = 0.10 eV/atom

The structure in POSCAR format:
```
In2SnHg2
1.0
8.1398 0.0000 0.0000
0.0000 8.1398 0.0000
0.0000 0.0000 3.7728
In Sn Hg
4 2 4
Direct
0.1662 0.3338 0.0000
0.3338 0.8338 0.0000
0.6662 0.1662 0.0000
0.8338 0.6662 0.0000
0.0000 0.0000 0.5000
0.5000 0.5000 0.5000
0.1348 0.6348 0.5000
0.3652 0.1348 0.5000
0.6348 0.8652 0.5000
0.8652 0.3652 0.5000
```

***

The following is a SCAN calculation of CoNiSb2 at its PBEsol-relaxed geometry, from the Alexandria database.

Computed properties:
uncorrected formation energy = 0.7889 eV per atom
symmetry = F-43m, No. 216

The structure in POSCAR format:
```
CoNiSb2
1.0
0.0000 3.2685 3.2685
3.2685 0.0000 3.2685
3.2685 3.2685 0.0000
Co Ni Sb
1 1 2
Direct
0.0000 0.0000 0.0000
0.2500 0.2500 0.2500
0.5000 0.5000 0.5000
0.7500 0.7500 0.7500
```

***

| no. | magnetization (μB/cell) | E_tot (eV/atom) |
| --- | --- | --- |
| 1 | 0.00 | -47.704 |
| 2 | 1.73 | -26.211 |